No. 1
Density functional theory data (PBE) for a geometry-optimized Li8CuHg2 structure.

POSCAR file:
```
Li8CuHg2
1.0
4.438 0.000 0.000
0.000 6.076 0.349
-2.219 -2.185 6.858
Li Cu Hg
8 1 2
direct
0.029 0.748 0.058
0.600 0.430 0.200
0.334 0.095 0.668
0.971 0.252 0.942
0.846 0.820 0.691
0.400 0.570 0.800
0.666 0.905 0.332
0.154 0.180 0.309
0.500 0.000 0.000
0.791 0.344 0.582
0.209 0.656 0.418
```

Crystal system: monoclinic
Final energy in Ry/atom: -0.146
Density of states at the Fermi level in states/eV/cell: 4.20
Total magnetization in Bohr magnetons per cell: 0.0
Energy above the lowest structure with this stoichiometry in eV per formula unit: 0.000

No. 2
Density functional theory data (PBE) for a geometry-optimized Li2CuHg2 structure.

POSCAR file:
```
Li2CuHg2
1.0
-0.291 6.980 1.792
-5.524 -1.368 4.430
2.141 -0.552 2.499
Li Hg Cu
4 4 2
direct
0.136 0.364 0.000
0.864 0.636 0.000
0.364 0.864 0.000
0.636 0.136 0.000
0.836 0.336 0.500
0.164 0.664 0.500
0.664 0.836 0.500
0.336 0.164 0.500
0.500 0.500 0.000
0.000 0.000 0.000
```

Crystal system: tetragonal
Final energy in Ry/atom: -0.129
Density of states at the Fermi level in states/eV/cell: 4.35
Total magnetization in Bohr magnetons per cell: 0.0
Energy above the lowest structure with this stoichiometry in eV per formula unit: 0.341

No. 3
Density functional theory data (PBE) for a geometry-optimized Li8Cu2Hg structure.

POSCAR file:
```
Li8Cu2Hg
1.0
-3.893 -0.851 -2.546
0.248 -7.208 -1.882
-2.731 -4.960 3.877
Li Cu Hg
8 2 1
direct
0.684 0.616 0.000
0.095 0.930 0.754
0.500 0.760 0.480
0.095 0.684 0.246
0.905 0.070 0.246
0.905 0.316 0.754
0.316 0.384 0.000
0.500 0.240 0.520
0.000 0.318 0.364
0.000 0.682 0.636
0.500 0.000 0.000
```

Crystal system: monoclinic
Final energy in Ry/atom: -0.161
Density of states at the Fermi level in states/eV/cell: 3.78
Total magnetization in Bohr magnetons per cell: 0.0
Energy above the lowest structure with this stoichiometry in eV per formula unit: 0.824

No. 4
Density functional theory data (PBE) for a geometry-optimized Li2CuHg2 structure.

POSCAR file:
```
Li2CuHg2
1.0
-4.065 5.031 -2.919
2.559 -1.651 -6.410
-2.735 -2.474 -0.455
Cu Hg Li
2 4 4
direct
0.500 0.500 0.000
0.000 0.000 0.000
0.649 0.149 0.000
0.149 0.351 0.000
0.351 0.851 0.000
0.851 0.649 0.000
0.342 0.158 0.500
0.158 0.658 0.500
0.658 0.842 0.500
0.842 0.342 0.500
```

Crystal system: tetragonal
Final energy in Ry/atom: -0.134
Density of states at the Fermi level in states/eV/cell: 2.93
Total magnetization in Bohr magnetons per cell: 0.0
Energy above the lowest structure with this stoichiometry in eV per formula unit: 0.000

No. 5
Density functional theory data (PBE) for a geometry-optimized LiCuHg2 structure.

POSCAR file:
```
LiCuHg2
1.0
4.595 0.000 0.000
0.000 3.307 0.000
0.000 -0.001 4.595
Hg Li Cu
2 1 1
direct
0.500 0.125 0.376
0.000 0.125 0.875
0.000 0.625 0.374
0.500 0.625 0.876
```

Crystal system: orthorhombic
Final energy in Ry/atom: -0.129
Density of states at the Fermi level in states/eV/cell: 1.05
Total magnetization in Bohr magnetons per cell: 0.0

No. 6
Density functional theory data (PBE) for a geometry-optimized LiCuHg2 structure.

POSCAR file:
```
LiCuHg2
1.0
9.133 0.063 0.037
8.580 3.131 0.037
8.580 1.547 2.722
Hg Li Cu
2 1 1
direct
0.499 0.499 0.499
0.001 0.001 0.001
0.250 0.250 0.250
0.750 0.750 0.750
```

Crystal system: trigonal
Final energy in Ry/atom: -0.122
Density of states at the Fermi level in states/eV/cell: 0.62
Total magnetization in Bohr magnetons per cell: 0.0

No. 7
Density functional theory data (PBE) for a geometry-optimized Li14CuHg structure.

POSCAR file:
```
Li14CuHg
1.0
5.886 -0.367 0.000
-2.645 5.271 0.000
0.000 0.000 9.685
Li Cu Hg
14 1 1
direct
0.377 0.623 0.752
0.878 0.122 0.740
0.377 0.623 0.248
0.209 0.791 0.000
0.710 0.290 0.000
0.366 0.126 0.269
0.716 0.793 0.000
0.874 0.634 0.731
0.048 0.460 0.500
0.366 0.126 0.731
0.878 0.122 0.260
0.874 0.634 0.269
0.207 0.284 0.000
0.540 0.952 0.500
0.042 0.958 0.500
0.539 0.461 0.500
```

Crystal system: orthorhombic
Final energy in Ry/atom: -0.147
Density of states at the Fermi level in states/eV/cell: 5.66
Total magnetization in Bohr magnetons per cell: 0.0

No. 8
Density functional theory data (PBE) for a geometry-optimized LiCuHg structure.

POSCAR file:
```
LiCuHg
1.0
-3.674 -2.375 -0.581
2.095 -0.090 3.883
-1.557 2.191 0.891
Li Cu Hg
1 1 1
direct
0.333 0.667 0.730
0.000 0.000 0.935
0.667 0.333 0.335
```

Crystal system: trigonal
Final energy in Ry/atom: -0.160
Density of states at the Fermi level in states/eV/cell: 0.51
Total magnetization in Bohr magnetons per cell: 0.0
Energy above the lowest structure with this stoichiometry in eV per formula unit: 0.197

No. 9
Density functional theory data (PBE) for a geometry-optimized Li2CuHg structure.

POSCAR file:
```
Li2CuHg
1.0
3.323 0.000 0.000
0.000 3.147 -0.010
0.000 3.118 5.979
Li Hg Cu
2 1 1
direct
0.000 0.523 0.477
0.000 0.977 0.023
0.500 0.750 0.750
0.500 0.250 0.250
```

Crystal system: monoclinic
Final energy in Ry/atom: -0.162
Density of states at the Fermi level in states/eV/cell: 1.42
Total magnetization in Bohr magnetons per cell: 0.0

No. 10
Density functional theory data (PBE) for a geometry-optimized Li2CuHg structure.

POSCAR file:
```
Li2CuHg
1.0
-6.970 0.851 5.903
-8.535 0.491 3.325
-7.540 -1.940 4.850
Li Hg Cu
2 1 1
direct
0.003 0.003 0.003
0.242 0.242 0.242
0.752 0.752 0.752
0.503 0.503 0.503
```

Crystal system: trigonal
Final energy in Ry/atom: -0.148
Density of states at the Fermi level in states/eV/cell: 1.36
Total magnetization in Bohr magnetons per cell: 0.0

No. 11
Density functional theory data (PBE) for a geometry-optimized LiCuHg structure.

POSCAR file:
```
LiCuHg
1.0
3.828 0.000 -0.008
0.000 4.063 0.000
-1.900 0.000 6.162
Hg Cu Li
2 2 2
direct
0.094 0.750 0.187
0.906 0.250 0.813
0.751 0.750 0.501
0.249 0.250 0.499
0.594 0.250 0.187
0.406 0.750 0.813
```

Crystal system: monoclinic
Final energy in Ry/atom: -0.165
Density of states at the Fermi level in states/eV/cell: 1.54
Total magnetization in Bohr magnetons per cell: 0.0
Energy above the lowest structure with this stoichiometry in eV per formula unit: 0.000

No. 12
Density functional theory data (PBE) for a geometry-optimized Li12Cu2Hg structure.

POSCAR file:
```
Li12Cu2Hg
1.0
5.342 0.000 0.000
0.000 5.342 0.000
0.000 0.000 21.026
Li Hg Cu
24 2 4
direct
0.000 0.000 0.200
0.000 0.000 0.674
0.687 0.813 0.561
0.250 0.750 0.902
0.000 0.000 0.800
0.500 0.500 0.326
0.813 0.313 0.561
0.750 0.250 0.902
0.687 0.187 0.439
0.187 0.313 0.439
0.500 0.500 0.200
0.750 0.750 0.902
0.250 0.250 0.902
0.250 0.750 0.098
0.000 0.000 0.326
0.813 0.687 0.439
0.313 0.187 0.561
0.250 0.250 0.098
0.750 0.750 0.098
0.187 0.687 0.561
0.313 0.813 0.439
0.750 0.250 0.098
0.500 0.500 0.800
0.500 0.500 0.674
0.000 0.500 0.000
0.500 0.000 0.000
0.000 0.500 0.810
0.500 0.000 0.810
0.500 0.000 0.190
0.000 0.500 0.190
```

Crystal system: tetragonal
Final energy in Ry/atom: -0.145
Density of states at the Fermi level in states/eV/cell: 14.35
Total magnetization in Bohr magnetons per cell: 0.0